# CeLuZnRe

A relaxed CeLuZnRe crystal (PBE-GGA, Alexandria via LeMat-Bulk).

The theoretical density comes out at 11.23 Mg/m³. As for the space group: F-43m. The calculation puts the final energy at -6.10 eV per atom.

a = 4.912 Å, b = 4.912 Å, c = 4.912 Å
α = 60.00°, β = 60.00°, γ = 60.00°
Fractional coordinates of all 4 atoms:
Ce: 0.000 0.000 0.000
Lu: 0.500 0.500 0.500
Zn: 0.750 0.750 0.750
Re: 0.250 0.250 0.250

---

# HfScIr2

A relaxed HfScIr2 crystal (PBE-GGA, Alexandria via LeMat-Bulk).

The theoretical density comes out at 14.62 Mg/m³. As for the space group: P4/mmm. The distance to the lowest polymorph of the same formula is 0.0000 eV/atom.

a = 4.710 Å, b = 4.710 Å, c = 3.113 Å
α = 90.00°, β = 90.00°, γ = 90.00°
Fractional coordinates of all 4 atoms:
Hf: 0.000 0.000 0.000
Sc: 0.500 0.500 0.000
Ir: 0.000 0.500 0.500
Ir: 0.500 0.000 0.500

---

# SrTiCu2S4

A relaxed SrTiCu2S4 crystal (PBE-GGA, Alexandria via LeMat-Bulk).

The value obtained for the energy relative to the elements, uncorrected is -1048 meV/atom. The theoretical density comes out at 3.76 Mg/m³. As for the space group: I222.

a = 6.148 Å, b = 6.148 Å, c = 6.148 Å
α = 120.88°, β = 108.68°, γ = 99.58°
Fractional coordinates of all 8 atoms:
Sr: 0.000 0.000 0.000
Ti: 0.500 0.500 0.000
Cu: 0.340 0.840 0.500
Cu: 0.660 0.160 0.500
S: 0.142 0.117 0.604
S: 0.487 0.883 0.025
S: 0.513 0.538 0.396
S: 0.858 0.462 0.975

---

# Ce7HgRu2

A relaxed Ce7HgRu2 crystal (PBE-GGA, Alexandria via LeMat-Bulk).

The theoretical density comes out at 7.66 Mg/m³. As for the space group: Cmmm. The calculation puts the final energy at -6.07 eV per atom.

a = 7.914 Å, b = 7.914 Å, c = 5.178 Å
α = 90.00°, β = 90.00°, γ = 112.38°
Fractional coordinates of all 10 atoms:
Ce: 0.000 0.000 0.000
Ce: 0.214 0.786 0.500
Ce: 0.222 0.445 0.000
Ce: 0.445 0.222 0.000
Ce: 0.555 0.778 0.000
Ce: 0.778 0.555 0.000
Ce: 0.786 0.214 0.500
Hg: 0.500 0.500 0.500
Ru: 0.187 0.813 0.000
Ru: 0.813 0.187 0.000

---

# Hf2NbO

A relaxed Hf2NbO crystal (PBE-GGA, Alexandria via LeMat-Bulk).

The value obtained for the energy relative to the elements, uncorrected is -782 meV/atom. The theoretical density comes out at 10.07 Mg/m³. As for the space group: I-42d.

a = 5.891 Å, b = 5.891 Å, c = 5.891 Å
α = 114.90°, β = 114.90°, γ = 99.09°
Fractional coordinates of all 8 atoms:
Hf: 0.014 0.625 0.889
Hf: 0.375 0.264 0.389
Hf: 0.736 0.125 0.111
Hf: 0.875 0.986 0.611
Nb: 0.250 0.750 0.500
Nb: 0.500 0.500 0.000
O: 0.000 0.000 0.000
O: 0.750 0.250 0.500

---

# PdPt2Cl

A relaxed PdPt2Cl crystal (PBE-GGA, Alexandria via LeMat-Bulk).

The value obtained for the energy relative to the elements, uncorrected is 567 meV/atom. The theoretical density comes out at 12.85 Mg/m³. As for the space group: I-42d. The distance to the lowest polymorph of the same formula is 0.0000 eV/atom.

a = 5.742 Å, b = 5.742 Å, c = 5.742 Å
α = 102.30°, β = 102.30°, γ = 125.02°
Fractional coordinates of all 8 atoms:
Pd: 0.000 0.000 0.000
Pd: 0.750 0.250 0.500
Pt: 0.145 0.625 0.020
Pt: 0.375 0.395 0.520
Pt: 0.605 0.125 0.980
Pt: 0.875 0.855 0.480
Cl: 0.250 0.750 0.500
Cl: 0.500 0.500 0.000

---

# Nd2MnP

A relaxed Nd2MnP crystal (PBE-GGA, Alexandria via LeMat-Bulk).

The theoretical density comes out at 4.95 Mg/m³. As for the space group: R-3m. The calculation puts the final energy at -6.10 eV per atom.

a = 9.793 Å, b = 9.793 Å, c = 9.793 Å
α = 22.98°, β = 22.98°, γ = 22.98°
Fractional coordinates of all 4 atoms:
Nd: 0.108 0.108 0.108
Nd: 0.892 0.892 0.892
Mn: 0.000 0.000 0.000
P: 0.500 0.500 0.500

---

# RbLa2Br2

A relaxed RbLa2Br2 crystal (PBE-GGA, Alexandria via LeMat-Bulk).

The value obtained for the energy relative to the elements, uncorrected is -640 meV/atom. The theoretical density comes out at 4.50 Mg/m³. As for the space group: I4/mmm. The distance to the lowest polymorph of the same formula is 0.0000 eV/atom.

a = 7.424 Å, b = 7.424 Å, c = 7.424 Å
α = 136.24°, β = 136.24°, γ = 63.60°
Fractional coordinates of all 5 atoms:
Rb: 0.000 0.000 0.000
La: 0.390 0.390 0.000
La: 0.610 0.610 0.000
Br: 0.250 0.750 0.500
Br: 0.750 0.250 0.500